An optimized crystal structure of Dy2Ge, computed with PBE.

Properties
Crystal system: cubic
Space group: Fd-3m
Total energy (eV per atom): -3.6053

abc: 8.840 8.840 8.840
angles: 60.00 60.00 60.00
Positions (direct):
Dy1 0.000 0.000 0.000
Dy2 0.500 0.000 0.000
Dy3 0.000 0.500 0.000
Dy4 0.000 0.000 0.500
Ge1 0.125 0.125 0.125
Ge2 0.875 0.875 0.875